Y8AgC4: optimized geometry, PBE-GGA.

Properties
Space group = C2/m, No. 12
DOS at the Fermi energy = 0.681 states/eV/atom
Raw total energy = -94.48 eV/cell
Formation energy from the elements = -0.23 eV per atom

Structure (POSCAR):
```
Y8AgC4
1.0
-1.9220 -1.0973 2.9011
4.8270 -7.1268 2.7971
3.8761 4.7529 6.6605
Y Ag C
8 1 4
Cartesian
2.4703 -0.6427 3.6882 Y
2.9201 -3.7712 5.0977 Y
3.5607 -0.0746 6.9203 Y
4.0109 -3.2025 8.3302 Y
4.1549 -6.4075 7.2133 Y
6.4454 -0.5695 8.6443 Y
2.3261 2.5625 4.8050 Y
0.0348 -3.2753 3.3737 Y
2.7616 4.0196 7.9395 Ag
5.0499 -4.2292 6.3355 C
4.0157 -0.8606 9.2192 C
2.4647 -2.9839 2.7990 C
1.4313 0.3839 5.6829 C
```